Density functional theory data (GGA+U) for LiMoP2O7 after structural relaxation.

Results
The value obtained for the distance to the lowest polymorph of the same formula is 0.013 eV per atom.

abc: 6.552 6.552 13.627
angles: 104.95 104.95 81.60
Positions (direct):
Li (0.026, 0.244, 0.155)
Li (0.244, 0.026, 0.655)
Li (0.756, 0.974, 0.345)
Li (0.974, 0.756, 0.845)
Mo (0.128, 0.606, 0.362)
Mo (0.394, 0.872, 0.138)
Mo (0.606, 0.128, 0.862)
Mo (0.872, 0.394, 0.638)
P (0.098, 0.247, 0.865)
P (0.247, 0.098, 0.365)
P (0.332, 0.409, 0.572)
P (0.409, 0.332, 0.072)
P (0.591, 0.668, 0.928)
P (0.668, 0.591, 0.428)
P (0.753, 0.902, 0.635)
P (0.902, 0.753, 0.135)
O (0.013, 0.581, 0.194)
O (0.053, 0.892, 0.117)
O (0.102, 0.268, 0.314)
O (0.108, 0.947, 0.383)
O (0.195, 0.320, 0.624)
O (0.212, 0.382, 0.977)
O (0.217, 0.595, 0.525)
O (0.268, 0.102, 0.814)
O (0.320, 0.195, 0.124)
O (0.382, 0.212, 0.477)
O (0.405, 0.783, 0.975)
O (0.419, 0.987, 0.306)
O (0.453, 0.545, 0.358)
O (0.455, 0.547, 0.142)
O (0.545, 0.453, 0.858)
O (0.547, 0.455, 0.642)
O (0.581, 0.013, 0.694)
O (0.595, 0.217, 0.025)
O (0.618, 0.788, 0.523)
O (0.680, 0.805, 0.876)
O (0.732, 0.898, 0.186)
O (0.783, 0.405, 0.475)
O (0.788, 0.618, 0.023)
O (0.805, 0.680, 0.376)
O (0.892, 0.053, 0.617)
O (0.898, 0.732, 0.686)
O (0.947, 0.108, 0.883)
O (0.987, 0.419, 0.806)